Computed, not measured: an optimized crystal structure of HoZrAl2Pd4 at the PBE level of DFT.

Cell: 4.339 4.339 8.867 Å, 90.00 90.00 120.00°
Fractional coordinates of all 8 atoms:
Ho 0.000 0.000 0.000
Zr 0.333 0.667 0.500
Al 0.667 0.333 0.261
Al 0.667 0.333 0.739
Pd 0.000 0.000 0.340
Pd 0.000 0.000 0.660
Pd 0.333 0.667 0.174
Pd 0.333 0.667 0.826

Properties
Crystal system: hexagonal

Computed, not measured: an optimized crystal structure of PrHoAl6 at the PBE level of DFT.

Cell: 6.417 6.417 4.595 Å, 90.00 90.00 120.00°
Fractional coordinates of all 8 atoms:
Pr 0.000 0.000 0.000
Ho 0.333 0.667 0.500
Al 0.382 0.191 0.500
Al 0.521 0.041 0.000
Al 0.521 0.479 0.000
Al 0.809 0.191 0.500
Al 0.809 0.618 0.500
Al 0.959 0.479 0.000

Properties
Crystal system: hexagonal

Computed, not measured: an optimized crystal structure of PrHoAlTe3 at the PBE level of DFT.

Cell: 8.037 8.037 10.523 Å, 90.00 90.00 149.74°
Fractional coordinates of all 12 atoms:
Pr 0.220 0.780 0.750
Pr 0.780 0.220 0.250
Ho 0.000 0.000 0.000
Ho 0.000 0.000 0.500
Al 0.476 0.524 0.250
Al 0.524 0.476 0.750
Te 0.117 0.883 0.250
Te 0.352 0.648 0.042
Te 0.352 0.648 0.458
Te 0.648 0.352 0.542
Te 0.648 0.352 0.958
Te 0.883 0.117 0.750

Properties
Crystal system: orthorhombic

Computed, not measured: an optimized crystal structure of HoAlPt at the PBE level of DFT.

Cell: 6.866 4.413 7.759 Å, 90.00 90.00 90.00°
Fractional coordinates of all 12 atoms:
Ho 0.029 0.250 0.181
Ho 0.471 0.750 0.681
Ho 0.529 0.250 0.319
Ho 0.971 0.750 0.819
Al 0.146 0.250 0.563
Al 0.354 0.750 0.063
Al 0.646 0.250 0.937
Al 0.854 0.750 0.437
Pt 0.228 0.750 0.383
Pt 0.272 0.250 0.883
Pt 0.728 0.750 0.117
Pt 0.772 0.250 0.617

Properties
Crystal system: orthorhombic

| no. | VASP energy (eV per atom) | calculated density (g/cm3) |
| --- | --- | --- |
| 1 | -6.05 | 8.45 |
| 2 | -4.40 | 4.74 |
| 3 | -4.69 | 6.94 |
| 4 | -5.96 | 10.93 |